Below is a geometry-optimized YInNiHg structure, with properties calculated at the GGA-PBE level.

a = 6.907 Å, b = 6.907 Å, c = 6.907 Å
α = 90.00°, β = 90.00°, γ = 90.00°
Sites, in units of the cell vectors:
Y  0.000  0.000  0.000
Y  0.000  0.500  0.500
Y  0.500  0.000  0.500
Y  0.500  0.500  0.000
In  0.000  0.000  0.500
In  0.000  0.500  0.000
In  0.500  0.000  0.000
In  0.500  0.500  0.500
Ni  0.250  0.250  0.250
Ni  0.250  0.750  0.750
Ni  0.750  0.250  0.750
Ni  0.750  0.750  0.250
Hg  0.250  0.250  0.750
Hg  0.250  0.750  0.250
Hg  0.750  0.250  0.250
Hg  0.750  0.750  0.750

Properties
Fermi-level density of states   1.5 states/eV/f.u.
Space-group type   No. 216
Total energy   -4.092 eV/atom
ΔH_f (0 K)   -0.271 eV per atom